Compound: Sr2GaNiO5
Source: Alexandria
Functional: PBE with a Hubbard U
Structure: optimized geometry Values from VASP.

Structure (Quantum ESPRESSO input):
```
&SYSTEM
  ibrav = 0, nat = 18, ntyp = 4
/
ATOMIC_SPECIES
Ni 58.69 Ni.upf
Ga 69.72 Ga.upf
O 16.00 O.upf
Sr 87.62 Sr.upf
CELL_PARAMETERS angstrom
3.264 0.000 0.000
-1.632 7.123 0.000
0.000 0.000 10.334
ATOMIC_POSITIONS angstrom
Ni 1.632 3.977 5.385
Ni 0.000 3.146 0.218
Ga 1.632 0.855 9.823
Ga 0.000 6.268 4.656
O 0.000 7.114 3.027
O 0.000 0.764 0.442
O 1.632 6.359 5.610
O 1.632 3.052 1.489
O 0.000 4.070 6.656
O 1.632 0.009 8.194
O 0.000 4.443 4.044
O 1.632 2.142 5.160
O 1.632 2.680 9.211
O 0.000 4.981 10.327
Sr 1.632 5.532 1.861
Sr 0.000 1.590 7.028
Sr 1.632 5.194 8.288
Sr 0.000 1.929 3.120
```

Total energy, eV/atom: -5.672
Symmetry: Cmc2_1, No. 36